(1)
Material: LaSn2Cl
Method: DFT, GGA-PBE
State: optimized geometry

Unit cell a=10.509 b=10.509 c=5.366 alpha=90.00 beta=90.00 gamma=90.00
Atoms (fractional coordinates):
La: 0.000 0.000 0.000
La: 0.000 0.500 0.250
La: 0.500 0.000 0.750
La: 0.500 0.500 0.500
Sn: 0.187 0.750 0.125
Sn: 0.250 0.187 0.875
Sn: 0.250 0.313 0.375
Sn: 0.313 0.750 0.625
Sn: 0.687 0.250 0.625
Sn: 0.750 0.687 0.375
Sn: 0.750 0.813 0.875
Sn: 0.813 0.250 0.125
Cl: 0.000 0.000 0.500
Cl: 0.000 0.500 0.750
Cl: 0.500 0.000 0.250
Cl: 0.500 0.500 0.000

**Crystal system**: tetragonal
**Distance to the lowest polymorph of the same formula**: 0.000 eV/atom
**Formation energy (no corrections)**: -0.57 eV per atom

(2)
Material: La2SnCl2
Method: DFT, GGA-PBE
State: optimized geometry

Unit cell a=4.373 b=4.373 c=15.049 alpha=90.00 beta=90.00 gamma=90.00
Atoms (fractional coordinates):
La: 0.000 0.000 0.118
La: 0.000 0.000 0.882
La: 0.500 0.500 0.382
La: 0.500 0.500 0.618
Sn: 0.000 0.000 0.500
Sn: 0.500 0.500 0.000
Cl: 0.000 0.500 0.250
Cl: 0.000 0.500 0.750
Cl: 0.500 0.000 0.250
Cl: 0.500 0.000 0.750

**Crystal system**: tetragonal
**Formation energy (no corrections)**: -1.49 eV per atom

(3)
Material: SrLa2SnCl
Method: DFT, GGA-PBE
State: optimized geometry

Unit cell a=5.443 b=5.443 c=6.045 alpha=90.00 beta=90.00 gamma=90.00
Atoms (fractional coordinates):
Sr: 0.000 0.000 0.000
La: 0.000 0.500 0.500
La: 0.500 0.000 0.500
Sn: 0.500 0.500 0.000
Cl: 0.500 0.500 0.500

**Crystal system**: tetragonal
**Formation energy (no corrections)**: -0.50 eV per atom

- Which value of formation energy (no corrections) does entry 3 give?
  -0.50 eV per atom

- formation energy (no corrections) of number 1 (LaSn2Cl)?
  -0.57 eV per atom

- Among the records above, which one has the lowest formation energy (no corrections)?
  La2SnCl2